(1)
# Ac3PrSn3 PBE relaxed
# ΔH_f (0 K) in eV per atom: -0.454
# Mass density in Mg/m³: 7.05
data_Ac3PrSn3
_cell_length_a 9.1609
_cell_length_b 14.0793
_cell_length_c 8.6259
_cell_angle_alpha 90.00
_cell_angle_beta 93.65
_cell_angle_gamma 90.00
_symmetry_space_group_name_H-M 'C 1 2/m 1'
_symmetry_Int_Tables_number 12
loop_
_symmetry_equiv_pos_as_xyz
'x,y,z'
'-x,-y,-z'
'-x,y,-z'
'x,-y,z'
'x+1/2,y+1/2,z'
'-x+1/2,-y+1/2,-z'
'-x+1/2,y+1/2,-z'
'x+1/2,-y+1/2,z'
loop_
_atom_site_label
_atom_site_type_symbol
_atom_site_fract_x
_atom_site_fract_y
_atom_site_fract_z
_atom_site_occupancy
Ac1 Ac 0.0000 0.1627 0.0000 1
Ac2 Ac 0.0000 0.2280 0.5000 1
Ac3 Ac 0.1195 0.5000 0.8543 1
Pr1 Pr 0.2483 0.5000 0.4073 1
Sn1 Sn 0.0602 0.0000 0.2835 1
Sn2 Sn 0.1791 0.3277 0.2007 1

(2)
# Ac8PrSn6 PBE relaxed
# ΔH_f (0 K) in eV per atom: -0.532
# Mass density in Mg/m³: 7.51
data_Ac8PrSn6
_cell_length_a 9.8522
_cell_length_b 9.8522
_cell_length_c 21.0729
_cell_angle_alpha 90.00
_cell_angle_beta 90.00
_cell_angle_gamma 120.00
_symmetry_space_group_name_H-M 'R -3'
_symmetry_Int_Tables_number 148
_symmetry_space_group_name_Hall '-R 3'
loop_
_atom_site_label
_atom_site_type_symbol
_atom_site_fract_x
_atom_site_fract_y
_atom_site_fract_z
_atom_site_occupancy
Ac1 Ac 0.0000 0.0000 0.1658 1
Ac2 Ac 0.0003 0.3355 0.3957 1
Pr1 Pr 0.0000 0.0000 0.5000 1
Sn1 Sn 0.9997 0.3276 0.5661 1

(3)
# Ac2Pr3Sn2 PBE relaxed
# ΔH_f (0 K) in eV per atom: -0.450
# Mass density in Mg/m³: 7.21
data_Ac2Pr3Sn2
_cell_length_a 12.7525
_cell_length_b 4.6982
_cell_length_c 9.1550
_cell_angle_alpha 90.00
_cell_angle_beta 110.77
_cell_angle_gamma 90.00
_symmetry_space_group_name_H-M 'C 1 2/m 1'
_symmetry_Int_Tables_number 12
loop_
_symmetry_equiv_pos_as_xyz
'x,y,z'
'-x,-y,-z'
'-x,y,-z'
'x,-y,z'
'x+1/2,y+1/2,z'
'-x+1/2,-y+1/2,-z'
'-x+1/2,y+1/2,-z'
'x+1/2,-y+1/2,z'
loop_
_atom_site_label
_atom_site_type_symbol
_atom_site_fract_x
_atom_site_fract_y
_atom_site_fract_z
_atom_site_occupancy
Ac1 Ac 0.1433 0.0000 0.2995 1
Pr1 Pr 0.0000 0.5000 0.5000 1
Pr2 Pr 0.1305 0.5000 0.9462 1
Sn1 Sn 0.1600 0.0000 0.7087 1

(4)
# AcPr5Sn2 PBE relaxed
# ΔH_f (0 K) in eV per atom: -0.338
# Mass density in Mg/m³: 6.83
data_AcPr5Sn2
_cell_length_a 4.7624
_cell_length_b 10.1427
_cell_length_c 11.7744
_cell_angle_alpha 90.00
_cell_angle_beta 90.00
_cell_angle_gamma 90.00
_symmetry_space_group_name_H-M 'I m m m'
_symmetry_Int_Tables_number 71
_symmetry_space_group_name_Hall '-I 2 2'
loop_
_atom_site_label
_atom_site_type_symbol
_atom_site_fract_x
_atom_site_fract_y
_atom_site_fract_z
_atom_site_occupancy
Ac1 Ac 0.0000 0.0000 0.0000 1
Pr1 Pr 0.0000 0.1885 0.3451 1
Pr2 Pr 0.0000 0.5000 0.0000 1
Sn1 Sn 0.0000 0.5000 0.2834 1